MnFe2Ag | PBE | optimized geometry

a = 4.7418 Å, b = 4.7418 Å, c = 2.6711 Å
α = 90.00°, β = 90.00°, γ = 111.69°
Closest atoms and distances in Å follow each position.
Fractional coordinates of all 4 atoms:
Fe  0.0000  0.0000  0.0000  4 Fe 2.66-2.67, 4 Ag 2.72, 4 Mn 2.72
Fe  0.5000  0.5000  0.0000  4 Fe 2.66-2.67, 4 Mn 2.72, 4 Ag 2.72
Ag  0.0000  0.5000  0.5000  2 Mn 2.66, 2 Ag 2.67, 8 Fe 2.72
Mn  0.5000  0.0000  0.5000  2 Ag 2.66, 2 Mn 2.67, 8 Fe 2.72

Results
- Fermi-level density of states (states/eV/cell) = 4.01
- SG = Cmmm
- ΔE_f (meV/atom) = 418
- distance to the lowest polymorph of the same formula (eV per atom) = 0.139

LiRe2Ir | PBE | optimized geometry

a = 9.3956 Å, b = 9.3956 Å, c = 9.3956 Å
α = 16.73°, β = 16.73°, γ = 16.73°
Closest atoms and distances in Å follow each position.
Fractional coordinates of all 4 atoms:
Li  0.7500  0.7500  0.7500  6 Li 2.73, 6 Re 2.89
Re  0.5040  0.5040  0.5040  3 Ir 2.71, 6 Re 2.73, 3 Li 2.89
Re  0.9960  0.9960  0.9960  3 Ir 2.71, 6 Re 2.73, 3 Li 2.89
Ir  0.2500  0.2500  0.2500  6 Re 2.71, 6 Ir 2.73

Results
- Fermi-level density of states (states/eV/cell) = 2.41
- SG = R-3m
- ΔE_f (meV/atom) = 176

PmSmTlSn | PBE | optimized geometry

a = 5.4602 Å, b = 5.4602 Å, c = 5.4602 Å
α = 60.00°, β = 60.00°, γ = 60.00°
Closest atoms and distances in Å follow each position.
Fractional coordinates of all 4 atoms:
Tl  0.2500  0.2500  0.2500  4 Pm 3.34, 4 Sm 3.34
Pm  0.0000  0.0000  0.0000  4 Sn 3.34, 4 Tl 3.34
Sm  0.5000  0.5000  0.5000  4 Sn 3.34, 4 Tl 3.34
Sn  0.7500  0.7500  0.7500  4 Pm 3.34, 4 Sm 3.34

Results
- Fermi-level density of states (states/eV/cell) = 2.54
- SG = F-43m
- ΔE_f (meV/atom) = -501
- distance to the lowest polymorph of the same formula (eV per atom) = 0.076

Rb2MnAgPt | PBE | optimized geometry

a = 6.7106 Å, b = 4.7867 Å, c = 6.7106 Å
α = 90.00°, β = 90.00°, γ = 90.00°
Closest atoms and distances in Å follow each position.
Fractional coordinates of all 5 atoms:
Rb  0.5000  0.0000  0.0000  2 Mn 3.36
Rb  0.0000  0.0000  0.5000  2 Mn 3.36
Ag  0.5000  0.5000  0.5000  8 Rb 4.12
Mn  0.0000  0.0000  0.0000  2 Pt 2.39
Pt  0.0000  0.5000  0.0000  2 Mn 2.39

Results
- Fermi-level density of states (states/eV/cell) = 2.24
- SG = P4/mmm
- ΔE_f (meV/atom) = 557